SrMoPd | the Alexandria database | PBE | optimized geometry; E_tot = -34.8 eV for the cell shown; mass density = 6.6 g/cm³; space-group type = P2_1/m, No. 11
1.0
4.321 0.000 0.039
0.000 3.620 -0.001
-0.736 0.007 9.349
Pd Mo Sr
2 2 2
Cartesian
3.439 2.452 6.903
1.874 0.641 2.992
-0.365 0.641 4.896
1.357 2.452 4.960
1.249 0.642 8.065
4.063 2.451 1.829



Cu2SnPd6 | the Alexandria database | PBE | optimized geometry; E_tot = -45.6 eV for the cell shown; mass density = 10.7 g/cm³; space-group type = C2/m, No. 12
1.0
4.072 0.000 0.000
2.036 4.257 0.051
2.036 2.066 7.950
Pd Cu Sn
6 2 1
Cartesian
4.072 4.771 3.156
6.108 5.033 7.566
6.108 2.481 6.598
4.072 1.551 4.845
2.036 1.290 0.435
2.036 3.842 1.403
4.072 4.173 5.886
4.072 2.149 2.115
2.036 3.161 4.000



TaHg2Pt | the Alexandria database | PBE | optimized geometry; E_tot = -16.8 eV for the cell shown; mass density = 17.0 g/cm³; space-group type = P4/mmm, No. 123
1.0
5.080 0.000 0.000
0.000 5.080 0.000
0.000 0.000 2.945
Pt Ta Hg
1 1 2
Cartesian
2.540 0.000 1.472
0.000 2.540 1.472
2.540 2.540 0.000
0.000 0.000 0.000



Y4Ho3Er | the Alexandria database | PBE | optimized geometry; E_tot = -88.3 eV for the cell shown; mass density = 6.6 g/cm³; space-group type = Pmn2_1, No. 31
1.0
-3.228 -5.130 1.628
2.942 -3.618 -5.567
8.481 -3.246 6.591
Y Er Ho
8 2 6
Cartesian
-1.712 -3.773 0.345
-0.681 -6.311 2.541
6.338 -5.531 -1.327
3.132 -6.448 -2.427
7.370 -8.070 0.867
2.527 -5.396 3.643
2.098 -3.910 -4.625
3.562 -7.935 5.838
3.978 -7.208 0.883
0.627 -2.129 -1.855
0.791 -8.091 -0.227
4.867 -3.751 1.442
-0.262 -5.585 -2.414
5.032 -9.715 3.069
1.681 -4.636 0.331
5.921 -6.258 3.626



TaBeAs2 | the Alexandria database | PBE | optimized geometry; E_tot = -24.0 eV for the cell shown; mass density = 9.1 g/cm³; space-group type = Cmmm, No. 65
1.0
-4.560 4.919 0.493
-0.822 -4.258 0.176
-1.640 0.433 2.856
As Ta Be
2 1 1
Cartesian
-3.100 2.676 1.674
0.000 0.000 0.000
-2.691 0.330 0.334
-1.231 -1.913 1.516



BaNa2Ac | the Alexandria database | PBE | optimized geometry; E_tot = -7.9 eV for the cell shown; mass density = 3.7 g/cm³; space-group type = Fm-3m, No. 225
1.0
-4.717 0.260 -4.306
0.833 -2.531 -5.810
-3.125 -5.329 -1.643
Ba Na Ac
1 2 1
Cartesian
0.000 0.000 0.000
-1.752 -1.900 -2.940
-5.257 -5.700 -8.819
-3.505 -3.800 -5.879



Li2AcPmSb2 | the Alexandria database | PBE | optimized geometry; E_tot = -26.2 eV for the cell shown; mass density = 6.7 g/cm³; formation energy (no corrections) = -5.23 eV per formula unit; space-group type = P-3m1, No. 164
1.0
4.768 0.000 0.000
-2.384 4.129 0.000
0.000 0.000 7.966
Li Pm Sb Ac
2 1 2 1
Cartesian
2.384 1.376 2.259
0.000 2.753 5.707
0.000 0.000 3.983
2.384 1.376 5.833
0.000 2.753 2.132
0.000 0.000 0.000



CaLa5NdSm2 | the Alexandria database | PBE | optimized geometry; E_tot = -77.0 eV for the cell shown; mass density = 5.8 g/cm³; space-group type = I4/mcm, No. 140
1.0
-6.687 4.277 5.220
-5.650 -7.568 -1.037
9.071 -1.370 4.097
La Sm Ca Nd
10 4 2 2
Cartesian
-6.227 0.397 5.430
-8.462 -3.765 4.450
2.961 -5.057 2.851
5.196 -0.896 3.830
-2.385 -1.074 2.911
1.354 0.575 6.349
-4.620 -5.236 1.932
-6.169 -1.645 2.092
-0.881 -3.586 5.369
0.000 0.000 0.000
-4.707 1.775 3.073
-7.630 -5.065 1.111
-2.940 -2.475 0.173
-9.398 -0.816 4.010
-1.892 0.631 5.705
-1.374 -5.292 2.576
1.451 -1.508 3.094
-4.718 -3.153 5.186



LiSiI2O | the Alexandria database | PBE | optimized geometry; E_tot = -14.7 eV for the cell shown; mass density = 4.7 g/cm³; formation energy (no corrections) = 0.69 eV per formula unit; space-group type = P4/mmm, No. 123
1.0
-3.668 -0.261 3.956
3.947 -0.751 3.610
0.258 3.663 0.481
Li I Si O
1 2 1 1
Cartesian
0.000 0.000 0.000
1.973 -0.376 1.805
-1.834 -0.130 1.978
0.269 1.326 4.023
0.129 1.832 0.240



Sr2Sc2Pt | the Alexandria database | PBE | optimized geometry; E_tot = -46.1 eV for the cell shown; mass density = 5.1 g/cm³; space-group type = P4/mbm, No. 127
1.0
-1.778 4.181 5.457
4.562 -3.499 4.167
4.305 3.808 -1.515
Sc Sr Pt
4 4 2
Cartesian
1.513 1.208 7.335
3.230 -1.518 5.363
1.271 -0.527 2.289
-0.446 2.199 4.261
4.674 1.889 6.372
2.150 4.211 5.036
4.939 0.278 3.073
2.414 2.600 1.737
1.392 0.341 4.812
0.000 0.000 0.000



CuBr2Cl | the Alexandria database | PBE | optimized geometry; E_tot = -8.5 eV for the cell shown; mass density = 3.7 g/cm³; formation energy (no corrections) = 0.75 eV per formula unit; space-group type = I4/mmm, No. 139
1.0
-4.692 -6.187 -3.137
-2.390 -7.884 1.506
1.391 7.955 2.217
Cu Br Cl
1 2 1
Cartesian
-3.421 -2.634 -0.867
-3.541 -7.035 -0.815
0.000 0.000 0.000
-2.270 -3.482 1.454



Pm6InHg2 | the Alexandria database | PBE | optimized geometry; E_tot = -68.7 eV for the cell shown; mass density = 8.2 g/cm³; space-group type = Immm, No. 71
1.0
9.004 0.201 0.011
-3.225 8.409 -0.011
-3.079 -4.178 7.361
Pm Hg In
12 4 2
Cartesian
5.282 5.570 1.324
6.247 2.052 0.375
-0.392 0.263 3.307
3.092 4.169 4.054
-2.665 5.233 4.966
-2.583 -1.137 6.036
2.626 1.612 1.324
3.151 0.685 4.976
-3.547 2.381 6.986
0.074 2.821 6.036
5.365 -0.801 2.395
-0.452 3.748 2.385
2.024 4.886 1.009
0.675 -0.453 6.352
3.839 -2.576 4.776
2.087 -1.400 2.596
0.000 0.000 0.000
-3.152 2.116 3.675